The following is a PBE calculation of a relaxed structure of RbTl2As2, from the Alexandria database.

Unit cell a=9.179 b=9.179 c=3.423 alpha=90.00 beta=90.00 gamma=90.00
Element x y z (fractional)
Tl 0.370 0.870 0.000
Tl 0.630 0.130 0.000
Tl 0.130 0.370 0.000
Tl 0.870 0.630 0.000
Rb 0.500 0.500 0.000
Rb 0.000 0.000 0.000
As 0.666 0.834 0.500
As 0.834 0.334 0.500
As 0.166 0.666 0.500
As 0.334 0.166 0.500

Values from the calculation:
energy relative to the elements: 0.0192 eV/atom
total magnetic moment: 0.0 μB/cell
crystal system: tetragonal